Se2SBr: optimized geometry, GGA-PBE.

## Properties
For the volume, the calculation gives 20.417 Å³ per atom. As for the energy relative to the lowest polymorph listed for this composition: 49.1 kJ per mole of atoms. Its uncorrected formation energy is 0.849 eV per atom.

Geometry as extended XYZ:
```
4
Lattice="-3.4422 0.6448 3.3841 -4.3809 1.7017 -1.2762 -3.8818 -2.9385 0.1155" Properties=species:S:1:pos:R:3 pbc="T T T"
S 0.0000 0.0000 0.0000
Br -5.8525 -0.2960 1.1117
Se -2.9262 -0.1480 0.5558
Se -8.7787 -0.4440 1.6675
```

=====

Se2SBr: optimized geometry, GGA-PBE.

## Properties
For the volume, the calculation gives 25.879 Å³ per atom. As for the energy relative to the lowest polymorph listed for this composition: 0.0 kJ per mole of atoms. Its uncorrected formation energy is 0.340 eV per atom.

Geometry as extended XYZ:
```
4
Lattice="-2.4371 3.3892 7.5595 -2.3771 -0.3205 8.2957 0.8264 1.6862 8.4289" Properties=species:S:1:pos:R:3 pbc="T T T"
Se -3.5667 4.2528 21.7197
Se -0.4211 0.5021 2.5644
Br 0.0000 0.0000 0.0000
S -1.9939 2.3774 12.1420
```

=====

SeS2Br: optimized geometry, GGA-PBE.

## Properties
For the volume, the calculation gives 25.637 Å³ per atom. As for the energy relative to the lowest polymorph listed for this composition: 21.4 kJ per mole of atoms. Its uncorrected formation energy is 0.358 eV per atom.

Geometry as extended XYZ:
```
4
Lattice="-8.1236 0.1283 -0.2743 -7.3302 -0.8030 3.4217 -7.2331 2.9204 2.2886" Properties=species:S:1:pos:R:3 pbc="T T T"
S -2.4378 0.2413 0.5841
S -20.2490 2.0043 4.8519
Br 0.0000 0.0000 0.0000
Se -11.3434 1.1228 2.7180
```

=====

Se4S5Br2: optimized geometry, GGA-PBE.

## Properties
For the volume, the calculation gives 33.982 Å³ per atom. Its uncorrected formation energy is 0.218 eV per atom.

Geometry as extended XYZ:
```
11
Lattice="11.1360 0.7395 -0.0579 -0.3602 5.5989 2.2325 -2.2942 0.6039 6.2816" Properties=species:S:1:pos:R:3 pbc="T T T"
Br 1.7609 1.5868 4.4706
Br 6.7208 5.3554 3.9856
S 10.0474 4.4922 1.9206
S 5.2078 5.9687 2.2035
S -1.5657 2.4501 6.5356
S -1.7157 4.7809 7.4649
S 10.1974 2.1614 0.9913
Se 4.6626 2.7433 2.0385
Se 2.3300 4.7136 4.8870
Se 3.8191 4.1990 6.4177
Se 6.1517 2.2287 3.5692
```

=====

What is the volume in the second record?
25.879 Å³ per atom

=====

What did the second record say?
Se2SBr: optimized geometry, GGA-PBE.

## Properties
For the volume, the calculation gives 25.879 Å³ per atom. As for the energy relative to the lowest polymorph listed for this composition: 0.0 kJ per mole of atoms. Its uncorrected formation energy is 0.340 eV per atom.

Geometry as extended XYZ:
```
4
Lattice="-2.4371 3.3892 7.5595 -2.3771 -0.3205 8.2957 0.8264 1.6862 8.4289" Properties=species:S:1:pos:R:3 pbc="T T T"
Se -3.5667 4.2528 21.7197
Se -0.4211 0.5021 2.5644
Br 0.0000 0.0000 0.0000
S -1.9939 2.3774 12.1420
```

=====

Which of these has the lowest volume?
number 1